Record 1
VASP calculation (PBE-GGA) on a relaxed Y3GeBr crystal.

Unit cell a=5.5077 b=5.5077 c=5.5077 alpha=90.00 beta=90.00 gamma=90.00
With the nearest neighbours (Å) after each atom.
Positions (direct):
Y  0.0000  0.0000  0.5000  2 Ge 2.75
Y  0.0000  0.5000  0.0000  2 Ge 2.75
Y  0.5000  0.0000  0.0000  2 Ge 2.75
Ge  0.0000  0.0000  0.0000  6 Y 2.75
Br  0.5000  0.5000  0.5000  12 Y 3.89

Output
Space-group type = Pm-3m (221)
Raw total energy = -26.65 eV per cell
Distance to the lowest polymorph of the same formula = 0.0 kJ/mol of formula units
Uncorrected formation energy = -18.6 kJ per mole of atoms
Size of the total moment = 0.01 μB per formula unit



Record 2
VASP calculation (PBE-GGA) on a relaxed Nd3ZnNi8 crystal.

Unit cell a=5.0632 b=5.0632 c=8.8210 alpha=73.32 beta=73.32 gamma=60.00
With the nearest neighbours (Å) after each atom.
Positions (direct):
Ni  0.6880  0.6880  0.9360  6 Ni 2.57-2.58
Ni  0.9382  0.9382  0.6803  6 Ni 2.51-2.57, 1 Zn 2.79
Ni  0.9382  0.4433  0.6803  6 Ni 2.51-2.57, 1 Zn 2.79
Ni  0.4348  0.9399  0.1904  6 Ni 2.49-2.58
Ni  0.1887  0.1887  0.4338  6 Ni 2.49-2.53
Ni  0.9399  0.4348  0.1904  6 Ni 2.49-2.58
Ni  0.4433  0.9382  0.6803  6 Ni 2.51-2.57, 1 Zn 2.79
Ni  0.4348  0.4348  0.1904  6 Ni 2.49-2.58
Nd  0.5066  0.5066  0.4803  12 Ni 2.83-3.03, 3 Zn 3.01
Nd  0.9909  0.9909  0.0274  9 Ni 2.87-3.02, 1 Zn 3.05, 3 Nd 3.21
Nd  0.3778  0.3778  0.8667  12 Ni 2.97-3.06, 4 Nd 3.21-3.22
Zn  0.8687  0.8687  0.3938  12 Ni 2.79-3.05, 4 Nd 3.01-3.05

Output
Space-group type = R3m (160)
Raw total energy = -65.59 eV per cell
ΔH_f (0 K) = -314 meV per atom
Size of the total moment = 0.00 μB per formula unit



Record 3
VASP calculation (PBE-GGA) on a relaxed K2ZnSe crystal.

Unit cell a=6.7169 b=6.7169 c=5.2832 alpha=69.52 beta=69.52 gamma=35.30
With the nearest neighbours (Å) after each atom.
Positions (direct):
K  0.7894  0.7894  0.7009  2 K 3.48-3.53, 4 Zn 3.51-3.57, 3 Se 3.59-3.81
K  0.9833  0.9833  0.0220  4 Se 3.38-3.42, 2 Zn 3.45-3.77, 2 K 3.48-3.53
Zn  0.1894  0.1894  0.2982  2 Se 2.73
Se  0.5379  0.5379  0.4789  2 Zn 2.73

Output
Space-group type = Cm (8)
Raw total energy = -9.20 eV per cell
Distance to the lowest polymorph of the same formula = 17.1 kJ/mol of formula units
Uncorrected formation energy = -54.1 kJ per mole of atoms
Size of the total moment = 0.00 μB per formula unit



Record 4
VASP calculation (PBE-GGA) on a relaxed Rb3CoRe crystal.

Unit cell a=6.5797 b=6.5797 c=6.5797 alpha=90.00 beta=90.00 gamma=90.00
With the nearest neighbours (Å) after each atom.
Positions (direct):
Rb  0.0000  0.5000  0.0000  2 Re 3.29
Rb  0.5000  0.0000  0.0000  2 Re 3.29
Rb  0.0000  0.0000  0.5000  2 Re 3.29
Co  0.5000  0.5000  0.5000  12 Rb 4.65
Re  0.0000  0.0000  0.0000  6 Rb 3.29

Output
Space-group type = Pm-3m (221)
Raw total energy = -12.50 eV per cell
ΔH_f (0 K) = 1992 meV per atom
Size of the total moment = 5.03 μB per formula unit



Record 5
VASP calculation (PBE-GGA) on a relaxed Ac4TlAgN crystal.

Unit cell a=7.4802 b=7.4808 c=9.1443 alpha=90.00 beta=114.14 gamma=90.00
With the nearest neighbours (Å) after each atom.
Positions (direct):
Ac  0.0000  0.5000  0.5000  2 N 2.66
Ac  0.4180  0.7500  0.8361  1 N 2.50
Ac  0.9355  0.2500  0.8710  1 Ag 3.11, 1 N 3.40
Ac  0.5000  0.0000  0.5000  2 N 2.66
Ac  0.5000  0.5000  0.5000  2 N 2.66
Ac  0.0645  0.7500  0.1290  1 Ag 3.11, 1 N 3.40
Ac  0.5820  0.2500  0.1639  1 N 2.50
Ac  0.0000  0.0000  0.5000  2 N 2.66
N  0.2680  0.7500  0.5360  5 Ac 2.50-2.66
N  0.7320  0.2500  0.4640  5 Ac 2.50-2.66
Tl  0.6181  0.7500  0.2361  5 Ac 3.34-3.44
Tl  0.3819  0.2500  0.7639  5 Ac 3.34-3.44
Ag  0.8782  0.7500  0.7564  5 Ac 3.11-3.40
Ag  0.1218  0.2500  0.2436  5 Ac 3.11-3.40

Output
Space-group type = Cmcm (63)
Raw total energy = -66.24 eV per cell
Uncorrected formation energy = -43.3 kJ per mole of atoms
Size of the total moment = 0.00 μB per formula unit



Record 6
VASP calculation (PBE-GGA) on a relaxed BaMg crystal.

Unit cell a=4.1583 b=4.1583 c=11.7447 alpha=90.00 beta=90.00 gamma=120.00
With the nearest neighbours (Å) after each atom.
Positions (direct):
Mg  0.3333  0.6667  0.7144  3 Mg 3.19
Mg  0.0000  0.0000  0.5356  3 Mg 3.19
Ba  0.3333  0.6667  0.2913  3 Mg 3.74, 6 Ba 4.16
Ba  0.0000  0.0000  0.9587  3 Mg 3.74, 6 Ba 4.16

Output
Space-group type = P-3m1 (164)
Raw total energy = -6.35 eV per cell
ΔH_f (0 K) = 172 meV per atom
Size of the total moment = 0.00 μB per formula unit



Record 7
VASP calculation (PBE-GGA) on a relaxed RbBSbI2 crystal.

Unit cell a=6.0478 b=6.0478 c=4.5473 alpha=90.00 beta=90.00 gamma=90.00
With the nearest neighbours (Å) after each atom.
Positions (direct):
B  0.0000  0.0000  0.0000  2 Sb 2.27
I  0.0000  0.5000  0.0000  2 B 3.02
I  0.5000  0.0000  0.0000  2 B 3.02
Sb  0.0000  0.0000  0.5000  2 B 2.27
Rb  0.5000  0.5000  0.5000  8 I 3.78

Output
Space-group type = P4/mmm (123)
Raw total energy = -13.97 eV per cell
Distance to the lowest polymorph of the same formula = 0.0 kJ/mol of formula units
Uncorrected formation energy = 17.2 kJ per mole of atoms
Size of the total moment = 0.00 μB per formula unit



Record 8
VASP calculation (PBE-GGA) on a relaxed Zr2CoRe crystal.

Unit cell a=9.7557 b=9.7557 c=9.7557 alpha=17.16 beta=17.16 gamma=17.16
With the nearest neighbours (Å) after each atom.
Positions (direct):
Co  0.4930  0.4930  0.4930  3 Re 2.53
Zr  0.0064  0.0064  0.0064  6 Zr 2.91, 3 Re 3.03
Zr  0.2399  0.2399  0.2399  3 Co 2.86, 6 Zr 2.91
Re  0.7607  0.7607  0.7607  3 Co 2.53

Output
Space-group type = R3m (160)
Raw total energy = -35.39 eV per cell
ΔH_f (0 K) = 315 meV per atom
Size of the total moment = 1.98 μB per formula unit



Record 9
VASP calculation (PBE-GGA) on a relaxed Sc2ReIr2 crystal.

Unit cell a=3.9779 b=3.9779 c=6.4641 alpha=72.08 beta=72.08 gamma=90.00
With the nearest neighbours (Å) after each atom.
Positions (direct):
Sc  0.2500  0.7500  0.5000  4 Ir 2.62, 4 Sc 2.81
Sc  0.7500  0.2500  0.5000  4 Ir 2.62, 4 Sc 2.81
Ir  0.3963  0.3963  0.2074  1 Ir 2.41, 4 Sc 2.62
Ir  0.6037  0.6037  0.7926  1 Ir 2.41, 4 Sc 2.62
Re  0.0000  0.0000  0.0000  8 Ir 3.06

Output
Space-group type = I4/mmm (139)
Raw total energy = -40.81 eV per cell
Distance to the lowest polymorph of the same formula = 431.0 kJ/mol of formula units
ΔH_f (0 K) = 405 meV per atom
Size of the total moment = 0.00 μB per formula unit



Record 10
VASP calculation (PBE-GGA) on a relaxed In2HgMo crystal.

Unit cell a=10.0145 b=10.0145 c=10.0145 alpha=18.27 beta=18.27 gamma=18.27
With the nearest neighbours (Å) after each atom.
Positions (direct):
In  0.0011  0.0011  0.0011  9 In 3.18-3.28, 3 Hg 3.20
In  0.2424  0.2424  0.2424  3 Mo 2.89, 6 In 3.18
Mo  0.5000  0.5000  0.5000  3 In 2.89, 3 Hg 2.92, 6 Mo 3.18
Hg  0.7565  0.7565  0.7565  3 Mo 2.92, 6 Hg 3.18, 3 In 3.20

Output
Space-group type = R3m (160)
Raw total energy = -14.96 eV per cell
ΔH_f (0 K) = 413 meV per atom
Size of the total moment = 0.80 μB per formula unit



Record 11
VASP calculation (PBE-GGA) on a relaxed VCrPBr crystal.

Unit cell a=3.1246 b=4.1540 c=8.0487 alpha=69.21 beta=90.02 gamma=67.87
With the nearest neighbours (Å) after each atom.
Positions (direct):
Cr  0.0227  0.5976  0.7569  3 P 2.31-2.33, 3 V 2.56-2.58
V  0.2449  0.1535  0.5874  2 Br 2.49, 2 P 2.50, 3 Cr 2.56-2.58
Br  0.6296  0.3830  0.3272  2 V 2.49
P  0.7654  0.1129  0.8370  3 Cr 2.31-2.33, 2 V 2.50

Output
Space-group type = Cm (8)
Raw total energy = -26.34 eV per cell
Distance to the lowest polymorph of the same formula = 70.8 kJ/mol of formula units
Uncorrected formation energy = -12.5 kJ per mole of atoms
Size of the total moment = 0.82 μB per formula unit



Record 12
VASP calculation (PBE-GGA) on a relaxed Zr2InTc crystal.

Unit cell a=4.5821 b=3.3356 c=5.5062 alpha=78.05 beta=90.00 gamma=90.00
With the nearest neighbours (Å) after each atom.
Positions (direct):
Tc  0.5000  0.5784  0.8126  3 Zr 2.62-2.85
Zr  0.5000  0.2414  0.2860  1 Tc 2.62
Zr  0.0000  0.0118  0.9283  4 Tc 2.85-2.95, 3 In 2.96-2.98
In  0.0000  0.6683  0.4731  2 Tc 2.93, 7 Zr 2.96-3.02

Output
Space-group type = Pm (6)
Raw total energy = -30.83 eV per cell
Distance to the lowest polymorph of the same formula = 83.9 kJ/mol of formula units
ΔH_f (0 K) = -157 meV per atom
Size of the total moment = 0.00 μB per formula unit



Record 13
VASP calculation (PBE-GGA) on a relaxed CsBCl2 crystal.

Unit cell a=8.6272 b=8.6272 c=8.6272 alpha=36.25 beta=36.25 gamma=36.25
With the nearest neighbours (Å) after each atom.
Positions (direct):
Cl  0.9051  0.9051  0.9051  1 B 2.29
Cl  0.0949  0.0949  0.0949  1 B 2.29
B  0.0000  0.0000  0.0000  2 Cl 2.29
Cs  0.5000  0.5000  0.5000  6 Cl 3.55

Output
Space-group type = R-3m (166)
Raw total energy = -11.58 eV per cell
Distance to the lowest polymorph of the same formula = 34.7 kJ/mol of formula units
Uncorrected formation energy = -8.6 kJ per mole of atoms
Size of the total moment = 0.00 μB per formula unit



Record 14
VASP calculation (PBE-GGA) on a relaxed InRe2Mo crystal.

Unit cell a=5.3148 b=5.3148 c=5.3148 alpha=144.84 beta=130.16 gamma=62.45
With the nearest neighbours (Å) after each atom.
Positions (direct):
Re  0.9985  0.9985  0.0000  2 Re 2.70, 2 Mo 2.72, 4 In 2.76
Re  0.7602  0.2602  0.5000  2 Re 2.70, 4 Mo 2.76, 2 In 2.85
Mo  0.2398  0.7398  0.5000  6 Re 2.72-2.76, 2 In 2.87
In  0.5015  0.5015  0.0000  6 Re 2.76-2.85, 2 Mo 2.87

Output
Space-group type = Imm2 (44)
Raw total energy = -36.92 eV per cell
ΔH_f (0 K) = 387 meV per atom
Size of the total moment = 0.00 μB per formula unit



Record 15
VASP calculation (PBE-GGA) on a relaxed SiIrPb2 crystal.

Unit cell a=7.1241 b=7.1241 c=7.1241 alpha=149.82 beta=146.57 gamma=45.66
With the nearest neighbours (Å) after each atom.
Positions (direct):
Pb  0.0132  0.0132  0.0000  4 Si 2.98, 2 Ir 3.22
Pb  0.7352  0.2352  0.5000  4 Ir 3.00, 2 Si 3.25
Ir  0.3241  0.8241  0.5000  2 Si 2.30
Si  0.4275  0.4275  0.0000  2 Ir 2.30

Output
Space-group type = Imm2 (44)
Raw total energy = -21.08 eV per cell
Uncorrected formation energy = 14.9 kJ per mole of atoms
Size of the total moment = 0.00 μB per formula unit



Record 16
VASP calculation (PBE-GGA) on a relaxed U6ReTc2 crystal.

Unit cell a=2.8215 b=8.3513 c=8.2492 alpha=57.93 beta=89.67 gamma=94.39
With the nearest neighbours (Å) after each atom.
Positions (direct):
U  0.9727  0.8425  0.4953  5 U 2.67-2.82, 1 Tc 2.94
U  0.1562  0.5025  0.1696  2 Tc 2.71-2.89, 5 U 2.73-2.96, 1 Re 2.89
U  0.0273  0.1575  0.5047  5 U 2.67-2.82, 1 Tc 2.94
U  0.8438  0.4975  0.8304  2 Tc 2.71-2.89, 5 U 2.73-2.96, 1 Re 2.89
U  0.9506  0.8373  0.1699  5 U 2.67-2.90, 1 Re 2.87, 1 Tc 2.94
U  0.0494  0.1627  0.8301  5 U 2.67-2.90, 1 Re 2.87, 1 Tc 2.94
Tc  0.4229  0.1852  0.1501  6 U 2.71-3.02, 2 Tc 2.82
Tc  0.5771  0.8148  0.8499  6 U 2.71-3.02, 2 Tc 2.82
Re  0.5000  0.5000  0.5000  2 Re 2.82, 6 U 2.87-3.04

Output
Space-group type = P-1 (2)
Raw total energy = -101.48 eV per cell
ΔH_f (0 K) = -64 meV per atom
Size of the total moment = 0.00 μB per formula unit



Record 17
VASP calculation (PBE-GGA) on a relaxed VTe2MoI crystal.

Unit cell a=5.2292 b=5.2292 c=5.5983 alpha=90.00 beta=90.00 gamma=90.00
With the nearest neighbours (Å) after each atom.
Positions (direct):
V  0.0000  0.0000  0.0000  4 Te 2.61, 2 I 2.80
Mo  0.5000  0.5000  0.5000  4 I 3.70, 8 Te 3.83
I  0.0000  0.0000  0.5000  2 V 2.80
Te  0.0000  0.5000  0.0000  2 V 2.61
Te  0.5000  0.0000  0.0000  2 V 2.61

Output
Space-group type = P4/mmm (123)
Raw total energy = -23.53 eV per cell
Distance to the lowest polymorph of the same formula = 0.0 kJ/mol of formula units
Uncorrected formation energy = 82.2 kJ per mole of atoms
Size of the total moment = 6.26 μB per formula unit



Record 18
VASP calculation (PBE-GGA) on a relaxed Pm6InRu crystal.

Unit cell a=5.1487 b=5.1488 c=9.6739 alpha=74.56 beta=74.59 gamma=90.00
With the nearest neighbours (Å) after each atom.
Positions (direct):
Pm  0.2521  0.2521  0.4960  12 Pm 3.64-3.72
Pm  0.3976  0.8976  0.2048  2 Ru 3.16, 2 In 3.16
Pm  0.1025  0.6024  0.7952  2 In 3.16, 2 Ru 3.16
Pm  0.6024  0.1024  0.7952  2 Ru 3.16, 2 In 3.16
Pm  0.7479  0.7479  0.5040  12 Pm 3.64-3.72
Pm  0.8975  0.3976  0.2048  2 In 3.16, 2 Ru 3.16
In  0.5000  0.5000  0.0000  8 Pm 3.16
Ru  0.0000  0.0000  0.0000  8 Pm 3.16

Output
Space-group type = I4/mmm (139)
Raw total energy = -41.22 eV per cell
Distance to the lowest polymorph of the same formula = 0.0 kJ/mol of formula units
ΔH_f (0 K) = -88 meV per atom
Size of the total moment = 0.00 μB per formula unit



Record 19
VASP calculation (PBE-GGA) on a relaxed Cs4Pt2Au crystal.

Unit cell a=4.8204 b=6.9121 c=23.9385 alpha=90.00 beta=90.00 gamma=110.41
With the nearest neighbours (Å) after each atom.
Positions (direct):
Cs  0.0376  0.0751  0.2500  3 Au 3.66-3.73
Cs  0.9624  0.9249  0.7500  3 Au 3.66-3.73
Cs  0.5000  0.0000  0.0000  6 Pt 3.48-3.87
Cs  0.7745  0.5491  0.1262  1 Pt 3.29
Cs  0.7745  0.5491  0.3738  1 Pt 3.29
Cs  0.5000  0.0000  0.5000  6 Pt 3.48-3.87
Cs  0.2255  0.4509  0.8738  1 Pt 3.29
Cs  0.2255  0.4509  0.6262  1 Pt 3.29
Au  0.3253  0.6506  0.2500  7 Cs 3.66-3.88
Au  0.6747  0.3494  0.7500  7 Cs 3.66-3.88
Pt  0.7674  0.5348  0.5113  2 Pt 2.51
Pt  0.2326  0.4652  0.4887  2 Pt 2.51
Pt  0.7674  0.5348  0.9887  2 Pt 2.51
Pt  0.2326  0.4652  0.0113  2 Pt 2.51

Output
Space-group type = Cmcm (63)
Raw total energy = -38.96 eV per cell
ΔH_f (0 K) = -101 meV per atom
Size of the total moment = 0.00 μB per formula unit



Record 20
VASP calculation (PBE-GGA) on a relaxed Si3W crystal.

Unit cell a=3.2800 b=3.2800 c=5.1472 alpha=90.00 beta=90.00 gamma=90.00
With the nearest neighbours (Å) after each atom.
Positions (direct):
Si  0.5000  0.5000  0.2500  2 W 2.57, 8 Si 2.64
Si  0.0000  0.0000  0.0067  6 Si 2.51-2.64, 4 W 2.67
Si  0.0000  0.0000  0.4933  6 Si 2.51-2.64, 4 W 2.67
W  0.5000  0.5000  0.7500  10 Si 2.57-2.67

Output
Space-group type = P4/mmm (123)
Raw total energy = -28.87 eV per cell
Distance to the lowest polymorph of the same formula = 36.0 kJ/mol of formula units
Uncorrected formation energy = 8.5 kJ per mole of atoms
Size of the total moment = 0.00 μB per formula unit